# Hf2PbN (GGA-PBE, optimized geometry)
data_Hf2PbN
_chemical_formula_sum 'Hf2 Pb1 N1'
_cell_length_a 7.7245
_cell_length_b 7.7245
_cell_length_c 7.7245
_cell_angle_alpha 24.57
_cell_angle_beta 24.57
_cell_angle_gamma 24.57
_symmetry_space_group_name_H-M 'P 1'
_symmetry_Int_Tables_number 1
_symmetry_space_group_name_Hall 'P 1'
loop_
_atom_site_label
_atom_site_type_symbol
_atom_site_fract_x
_atom_site_fract_y
_atom_site_fract_z
Hf1 Hf 0.0000 0.0000 0.0000
Hf2 Hf 0.2225 0.2225 0.2225
Pb1 Pb 0.4438 0.4438 0.4438
N1 N 0.6115 0.6115 0.6115
# **Crystal system**: trigonal
# **Uncorrected formation energy**: -3.38 eV per formula unit
# **E**: -8.83 eV/atom

***

# Ho12SnPd6 (GGA-PBE, optimized geometry)
data_Ho12SnPd6
_chemical_formula_sum 'Ho12 Sn1 Pd6'
_cell_length_a 8.5868
_cell_length_b 8.5868
_cell_length_c 8.5868
_cell_angle_alpha 109.47
_cell_angle_beta 109.47
_cell_angle_gamma 109.47
_symmetry_space_group_name_H-M 'P 1'
_symmetry_Int_Tables_number 1
_symmetry_space_group_name_Hall 'P 1'
loop_
_atom_site_label
_atom_site_type_symbol
_atom_site_fract_x
_atom_site_fract_y
_atom_site_fract_z
Ho1 Ho 0.1130 0.8159 0.2971
Ho2 Ho 0.1841 0.2971 0.4811
Ho3 Ho 0.1841 0.7029 0.8870
Ho4 Ho 0.2971 0.1130 0.8159
Ho5 Ho 0.2971 0.4811 0.1841
Ho6 Ho 0.4811 0.1841 0.2971
Ho7 Ho 0.5189 0.8159 0.7029
Ho8 Ho 0.7029 0.5189 0.8159
Ho9 Ho 0.7029 0.8870 0.1841
Ho10 Ho 0.8159 0.2971 0.1130
Ho11 Ho 0.8159 0.7029 0.5189
Ho12 Ho 0.8870 0.1841 0.7029
Sn1 Sn 0.0000 0.0000 0.0000
Pd1 Pd 0.1372 0.6372 0.5000
Pd2 Pd 0.3628 0.5000 0.8628
Pd3 Pd 0.5000 0.1372 0.6372
Pd4 Pd 0.5000 0.8628 0.3628
Pd5 Pd 0.6372 0.5000 0.1372
Pd6 Pd 0.8628 0.3628 0.5000
# **Crystal system**: cubic
# **Energy relative to the lowest polymorph listed for this composition**: 0.0 meV/atom
# **E**: -5.40 eV/atom
# **Calculated formation energy**: -1213 kJ/mol of formula units

***

# MnVCr2 (GGA-PBE, optimized geometry)
data_MnVCr2
_chemical_formula_sum 'Mn2 V2 Cr4'
_cell_length_a 4.0518
_cell_length_b 4.0518
_cell_length_c 6.4077
_cell_angle_alpha 108.25
_cell_angle_beta 108.25
_cell_angle_gamma 89.97
_symmetry_space_group_name_H-M 'P 1'
_symmetry_Int_Tables_number 1
_symmetry_space_group_name_Hall 'P 1'
loop_
_atom_site_label
_atom_site_type_symbol
_atom_site_fract_x
_atom_site_fract_y
_atom_site_fract_z
Mn1 Mn 0.2501 0.7499 0.0000
Mn2 Mn 0.7499 0.2501 0.0000
V1 V 0.1261 0.1261 0.7523
V2 V 0.8739 0.8739 0.2477
Cr1 Cr 0.0000 0.5000 0.5000
Cr2 Cr 0.3762 0.3762 0.2524
Cr3 Cr 0.5000 0.0000 0.5000
Cr4 Cr 0.6238 0.6238 0.7476
# **Crystal system**: monoclinic
# **E**: -9.48 eV/atom
# **Calculated formation energy**: -37 kJ/mol of formula units

***

# SnBrF (GGA-PBE, optimized geometry)
data_SnBrF
_chemical_formula_sum 'Sn1 Br1 F1'
_cell_length_a 4.7725
_cell_length_b 4.7725
_cell_length_c 4.7725
_cell_angle_alpha 60.00
_cell_angle_beta 60.00
_cell_angle_gamma 60.00
_symmetry_space_group_name_H-M 'P 1'
_symmetry_Int_Tables_number 1
_symmetry_space_group_name_Hall 'P 1'
loop_
_atom_site_label
_atom_site_type_symbol
_atom_site_fract_x
_atom_site_fract_y
_atom_site_fract_z
Sn1 Sn 0.0000 0.0000 0.0000
Br1 Br 0.2500 0.2500 0.2500
F1 F 0.7500 0.7500 0.7500
# **Crystal system**: cubic
# **Uncorrected formation energy**: -3.71 eV per formula unit
# **E**: -3.75 eV/atom

***

# CrBi2As (GGA-PBE, optimized geometry)
data_CrBi2As
_chemical_formula_sum 'Cr2 Bi4 As2'
_cell_length_a 7.9852
_cell_length_b 7.9852
_cell_length_c 7.9852
_cell_angle_alpha 132.42
_cell_angle_beta 132.42
_cell_angle_gamma 69.56
_symmetry_space_group_name_H-M 'P 1'
_symmetry_Int_Tables_number 1
_symmetry_space_group_name_Hall 'P 1'
loop_
_atom_site_label
_atom_site_type_symbol
_atom_site_fract_x
_atom_site_fract_y
_atom_site_fract_z
Cr1 Cr 0.0000 0.0000 0.0000
Cr2 Cr 0.7500 0.2500 0.5000
Bi1 Bi 0.1117 0.6250 0.9867
Bi2 Bi 0.3750 0.3617 0.4867
Bi3 Bi 0.6383 0.1250 0.0133
Bi4 Bi 0.8750 0.8883 0.5133
As1 As 0.2500 0.7500 0.5000
As2 As 0.5000 0.5000 0.0000
# **Crystal system**: tetragonal
# **E**: -5.00 eV/atom
# **Calculated formation energy**: 197 kJ/mol of formula units

***

# TlSb2SeI (GGA-PBE, optimized geometry)
data_TlSb2SeI
_chemical_formula_sum 'Tl1 Sb2 Se1 I1'
_cell_length_a 5.8200
_cell_length_b 5.8200
_cell_length_c 5.7575
_cell_angle_alpha 90.00
_cell_angle_beta 90.00
_cell_angle_gamma 90.00
_symmetry_space_group_name_H-M 'P 1'
_symmetry_Int_Tables_number 1
_symmetry_space_group_name_Hall 'P 1'
loop_
_atom_site_label
_atom_site_type_symbol
_atom_site_fract_x
_atom_site_fract_y
_atom_site_fract_z
Tl1 Tl 0.0000 0.0000 0.0000
Sb1 Sb 0.0000 0.5000 0.0000
Sb2 Sb 0.5000 0.0000 0.0000
Se1 Se 0.5000 0.5000 0.5000
I1 I 0.0000 0.0000 0.5000
# **Crystal system**: tetragonal
# **Uncorrected formation energy**: 4.45 eV per formula unit
# **Energy relative to the lowest polymorph listed for this composition**: 528.1 meV/atom
# **E**: -2.24 eV/atom

***

# SrLi2PRh (GGA-PBE, optimized geometry)
data_SrLi2PRh
_chemical_formula_sum 'Sr1 Li2 P1 Rh1'
_cell_length_a 4.6519
_cell_length_b 4.6519
_cell_length_c 4.5823
_cell_angle_alpha 90.00
_cell_angle_beta 90.00
_cell_angle_gamma 90.00
_symmetry_space_group_name_H-M 'P 1'
_symmetry_Int_Tables_number 1
_symmetry_space_group_name_Hall 'P 1'
loop_
_atom_site_label
_atom_site_type_symbol
_atom_site_fract_x
_atom_site_fract_y
_atom_site_fract_z
Sr1 Sr 0.0000 0.0000 0.0000
Li1 Li 0.0000 0.5000 0.5000
Li2 Li 0.5000 0.0000 0.5000
P1 P 0.5000 0.5000 0.5000
Rh1 Rh 0.5000 0.5000 0.0000
# **Crystal system**: tetragonal
# **E**: -4.13 eV/atom
# **Calculated formation energy**: -230 kJ/mol of formula units

***

# KSi2H (GGA-PBE, optimized geometry)
data_KSi2H
_chemical_formula_sum 'K1 Si2 H1'
_cell_length_a 4.8234
_cell_length_b 4.8234
_cell_length_c 4.8234
_cell_angle_alpha 60.00
_cell_angle_beta 60.00
_cell_angle_gamma 60.00
_symmetry_space_group_name_H-M 'P 1'
_symmetry_Int_Tables_number 1
_symmetry_space_group_name_Hall 'P 1'
loop_
_atom_site_label
_atom_site_type_symbol
_atom_site_fract_x
_atom_site_fract_y
_atom_site_fract_z
K1 K 0.0000 0.0000 0.0000
Si1 Si 0.2500 0.2500 0.2500
Si2 Si 0.7500 0.7500 0.7500
H1 H 0.5000 0.5000 0.5000
# **Crystal system**: cubic
# **Energy relative to the lowest polymorph listed for this composition**: 803.0 meV/atom
# **E**: -2.46 eV/atom

***

# LaCuOs2 (GGA-PBE, optimized geometry)
data_LaCuOs2
_chemical_formula_sum 'La1 Cu1 Os2'
_cell_length_a 5.2440
_cell_length_b 5.2440
_cell_length_c 5.2440
_cell_angle_alpha 134.78
_cell_angle_beta 134.78
_cell_angle_gamma 65.88
_symmetry_space_group_name_H-M 'P 1'
_symmetry_Int_Tables_number 1
_symmetry_space_group_name_Hall 'P 1'
loop_
_atom_site_label
_atom_site_type_symbol
_atom_site_fract_x
_atom_site_fract_y
_atom_site_fract_z
La1 La 0.0000 0.0000 0.0000
Cu1 Cu 0.5000 0.5000 0.0000
Os1 Os 0.2500 0.7500 0.5000
Os2 Os 0.7500 0.2500 0.5000
# **Crystal system**: tetragonal
# **Energy relative to the lowest polymorph listed for this composition**: 428.2 meV/atom
# **E**: -7.19 eV/atom
# **Calculated formation energy**: 264 kJ/mol of formula units

***

What is the formula in the eighth record?
KSi2H

***

Repeat the seventh record exactly.
# SrLi2PRh (GGA-PBE, optimized geometry)
data_SrLi2PRh
_chemical_formula_sum 'Sr1 Li2 P1 Rh1'
_cell_length_a 4.6519
_cell_length_b 4.6519
_cell_length_c 4.5823
_cell_angle_alpha 90.00
_cell_angle_beta 90.00
_cell_angle_gamma 90.00
_symmetry_space_group_name_H-M 'P 1'
_symmetry_Int_Tables_number 1
_symmetry_space_group_name_Hall 'P 1'
loop_
_atom_site_label
_atom_site_type_symbol
_atom_site_fract_x
_atom_site_fract_y
_atom_site_fract_z
Sr1 Sr 0.0000 0.0000 0.0000
Li1 Li 0.0000 0.5000 0.5000
Li2 Li 0.5000 0.0000 0.5000
P1 P 0.5000 0.5000 0.5000
Rh1 Rh 0.5000 0.5000 0.0000
# **Crystal system**: tetragonal
# **E**: -4.13 eV/atom
# **Calculated formation energy**: -230 kJ/mol of formula units

***

What did the sixth record say?
# TlSb2SeI (GGA-PBE, optimized geometry)
data_TlSb2SeI
_chemical_formula_sum 'Tl1 Sb2 Se1 I1'
_cell_length_a 5.8200
_cell_length_b 5.8200
_cell_length_c 5.7575
_cell_angle_alpha 90.00
_cell_angle_beta 90.00
_cell_angle_gamma 90.00
_symmetry_space_group_name_H-M 'P 1'
_symmetry_Int_Tables_number 1
_symmetry_space_group_name_Hall 'P 1'
loop_
_atom_site_label
_atom_site_type_symbol
_atom_site_fract_x
_atom_site_fract_y
_atom_site_fract_z
Tl1 Tl 0.0000 0.0000 0.0000
Sb1 Sb 0.0000 0.5000 0.0000
Sb2 Sb 0.5000 0.0000 0.0000
Se1 Se 0.5000 0.5000 0.5000
I1 I 0.0000 0.0000 0.5000
# **Crystal system**: tetragonal
# **Uncorrected formation energy**: 4.45 eV per formula unit
# **Energy relative to the lowest polymorph listed for this composition**: 528.1 meV/atom
# **E**: -2.24 eV/atom